[1]
# SrCuPb2 | the Alexandria database | PBE-GGA | optimized geometry
data_SrCuPb2
_chemical_formula_sum 'Sr1 Cu1 Pb2'
_space_group_name_H-M_alt 'P 1'
_space_group_IT_number 1
_space_group_name_Hall 'P 1'
_cell_length_a 6.209
_cell_length_b 6.209
_cell_length_c 6.209
_cell_angle_alpha 136.58
_cell_angle_beta 133.62
_cell_angle_gamma 65.40
loop_
_atom_site_label
_atom_site_type_symbol
_atom_site_fract_x
_atom_site_fract_y
_atom_site_fract_z
Cu1 Cu 0.207 0.707 0.500
Pb1 Pb 0.058 0.058 0.000
Pb2 Pb 0.755 0.255 0.500
Sr1 Sr 0.479 0.479 0.000
# space group: No. 44
# energy of formation: -0.335 eV/f.u.

[2]
# CsBaPaN3 | the Alexandria database | PBE-GGA | optimized geometry
data_CsBaPaN3
_chemical_formula_sum 'Cs2 Ba2 Pa2 N6'
_space_group_name_H-M_alt 'P 1'
_space_group_IT_number 1
_space_group_name_Hall 'P 1'
_cell_length_a 6.277
_cell_length_b 7.252
_cell_length_c 7.683
_cell_angle_alpha 61.84
_cell_angle_beta 83.50
_cell_angle_gamma 76.12
loop_
_atom_site_label
_atom_site_type_symbol
_atom_site_fract_x
_atom_site_fract_y
_atom_site_fract_z
Cs1 Cs 0.250 0.577 0.846
Cs2 Cs 0.750 0.423 0.154
Ba1 Ba 0.250 0.219 0.561
Ba2 Ba 0.750 0.781 0.439
Pa1 Pa 0.750 0.059 0.883
Pa2 Pa 0.250 0.941 0.117
N1 N 0.457 0.904 0.890
N2 N 0.043 0.206 0.890
N3 N 0.750 0.210 0.579
N4 N 0.543 0.096 0.110
N5 N 0.957 0.794 0.110
N6 N 0.250 0.790 0.421
# space group: No. 15
# formation energy (no corrections): -0.619 eV per atom

[3]
# PrTmTlZn | the Alexandria database | PBE-GGA | optimized geometry
data_PrTmTlZn
_chemical_formula_sum 'Pr1 Tm1 Tl1 Zn1'
_space_group_name_H-M_alt 'P 1'
_space_group_IT_number 1
_space_group_name_Hall 'P 1'
_cell_length_a 5.308
_cell_length_b 5.308
_cell_length_c 5.308
_cell_angle_alpha 60.00
_cell_angle_beta 60.00
_cell_angle_gamma 60.00
loop_
_atom_site_label
_atom_site_type_symbol
_atom_site_fract_x
_atom_site_fract_y
_atom_site_fract_z
Pr1 Pr 0.250 0.250 0.250
Tl1 Tl 0.000 0.000 0.000
Tm1 Tm 0.750 0.750 0.750
Zn1 Zn 0.500 0.500 0.500
# space group: No. 216
# energy of formation: -1.227 eV/f.u.

[4]
# PRhBr2 | the Alexandria database | PBE-GGA | optimized geometry
data_PRhBr2
_chemical_formula_sum 'P1 Rh1 Br2'
_space_group_name_H-M_alt 'P 1'
_space_group_IT_number 1
_space_group_name_Hall 'P 1'
_cell_length_a 3.538
_cell_length_b 6.555
_cell_length_c 7.042
_cell_angle_alpha 40.23
_cell_angle_beta 90.00
_cell_angle_gamma 90.00
loop_
_atom_site_label
_atom_site_type_symbol
_atom_site_fract_x
_atom_site_fract_y
_atom_site_fract_z
Br1 Br 0.000 0.014 0.932
Br2 Br 0.500 0.266 0.244
P1 P 0.000 0.545 0.619
Rh1 Rh 0.500 0.676 0.705
# space group: No. 6
# formation energy (no corrections): -0.188 eV per atom

[5]
# Li2ErPd8 | the Alexandria database | PBE-GGA | optimized geometry
data_Li2ErPd8
_chemical_formula_sum 'Li2 Er1 Pd8'
_space_group_name_H-M_alt 'P 1'
_space_group_IT_number 1
_space_group_name_Hall 'P 1'
_cell_length_a 4.108
_cell_length_b 6.787
_cell_length_c 7.443
_cell_angle_alpha 117.12
_cell_angle_beta 106.02
_cell_angle_gamma 90.00
loop_
_atom_site_label
_atom_site_type_symbol
_atom_site_fract_x
_atom_site_fract_y
_atom_site_fract_z
Li1 Li 0.198 0.698 0.396
Li2 Li 0.802 0.302 0.604
Er1 Er 0.500 0.000 0.000
Pd1 Pd 0.661 0.875 0.322
Pd2 Pd 0.339 0.552 0.678
Pd3 Pd 0.155 0.155 0.310
Pd4 Pd 0.000 0.303 0.000
Pd5 Pd 0.845 0.845 0.690
Pd6 Pd 0.661 0.448 0.322
Pd7 Pd 0.339 0.125 0.678
Pd8 Pd 0.000 0.697 0.000
# space group: No. 71
# energy of formation: -4.280 eV/f.u.

[6]
# K2BeAg | the Alexandria database | PBE-GGA | optimized geometry
data_K2BeAg
_chemical_formula_sum 'K2 Be1 Ag1'
_space_group_name_H-M_alt 'P 1'
_space_group_IT_number 1
_space_group_name_Hall 'P 1'
_cell_length_a 9.927
_cell_length_b 9.927
_cell_length_c 9.927
_cell_angle_alpha 24.11
_cell_angle_beta 24.11
_cell_angle_gamma 24.11
loop_
_atom_site_label
_atom_site_type_symbol
_atom_site_fract_x
_atom_site_fract_y
_atom_site_fract_z
Be1 Be 0.792 0.792 0.792
K1 K 0.034 0.034 0.034
K2 K 0.216 0.216 0.216
Ag1 Ag 0.458 0.458 0.458
# space group: No. 160
# energy of formation: 1.272 eV/f.u.

[7]
# Ac3Pr3In2Ir | the Alexandria database | PBE-GGA | optimized geometry
data_Ac3Pr3In2Ir
_chemical_formula_sum 'Ac3 Pr3 In2 Ir1'
_space_group_name_H-M_alt 'P 1'
_space_group_IT_number 1
_space_group_name_Hall 'P 1'
_cell_length_a 4.056
_cell_length_b 9.177
_cell_length_c 9.177
_cell_angle_alpha 120.00
_cell_angle_beta 90.00
_cell_angle_gamma 90.00
loop_
_atom_site_label
_atom_site_type_symbol
_atom_site_fract_x
_atom_site_fract_y
_atom_site_fract_z
Ac1 Ac 0.500 0.756 0.000
Ac2 Ac 0.500 0.000 0.756
Ac3 Ac 0.500 0.244 0.244
Pr1 Pr 0.000 0.599 0.599
Pr2 Pr 0.000 0.000 0.401
Pr3 Pr 0.000 0.401 0.000
In1 In 0.500 0.667 0.333
In2 In 0.500 0.333 0.667
Ir1 Ir 0.000 0.000 0.000
# space group: No. 189
# energy of formation: -3.454 eV/f.u.

[8]
# LiMnRe2 | the Alexandria database | PBE-GGA | optimized geometry
data_LiMnRe2
_chemical_formula_sum 'Li1 Mn1 Re2'
_space_group_name_H-M_alt 'P 1'
_space_group_IT_number 1
_space_group_name_Hall 'P 1'
_cell_length_a 4.619
_cell_length_b 4.619
_cell_length_c 4.925
_cell_angle_alpha 85.77
_cell_angle_beta 85.77
_cell_angle_gamma 32.20
loop_
_atom_site_label
_atom_site_type_symbol
_atom_site_fract_x
_atom_site_fract_y
_atom_site_fract_z
Li1 Li 0.498 0.498 0.511
Mn1 Mn 0.742 0.742 0.731
Re1 Re 0.008 0.008 0.009
Re2 Re 0.252 0.252 0.248
# space group: No. 8
# energy of formation: 1.138 eV/f.u.

What did we get for VASP energy? Answer: -3.38 -6.83 -3.53 -4.21 -4.93 -1.88 -4.94 -8.71 eV/atom, in the order shown.